1.
Density functional theory data (GGA-PBE) for a geometry-optimized Li2ZrNb structure. Values from VASP.

* calculated volume: 75 Å³/f.u.
* uncorrected energy: -20.1 eV/cell

```
&SYSTEM
  ibrav = 0, nat = 4, ntyp = 3
/
ATOMIC_SPECIES
Nb 92.91 Nb.upf
Zr 91.22 Zr.upf
Li 6.94 Li.upf
ATOMIC_POSITIONS angstrom
Nb -4.005 -7.679 -0.749
Zr -2.670 -5.119 -0.499
Li -1.335 -2.560 -0.250
Li 0.000 0.000 0.000
CELL_PARAMETERS angstrom
0.394 -4.653 0.763
-3.798 -2.518 1.277
-1.936 -3.068 -3.038
```


2.
Density functional theory data (GGA-PBE) for a geometry-optimized Li2Nd structure. Values from VASP.

* energy relative to the lowest polymorph listed for this composition: 0.6358 eV/atom
* calculated volume: 87 Å³/f.u.
* uncorrected energy: -6.4 eV/cell

```
&SYSTEM
  ibrav = 0, nat = 3, ntyp = 2
/
ATOMIC_SPECIES
Li 6.94 Li.upf
Nd 144.24 Nd.upf
ATOMIC_POSITIONS angstrom
Li 5.284 5.284 5.284
Li 1.761 1.761 1.761
Nd 0.000 0.000 0.000
CELL_PARAMETERS angstrom
0.000 3.523 3.523
3.523 0.000 3.523
3.523 3.523 0.000
```


3.
Density functional theory data (GGA-PBE) for a geometry-optimized Li2Nd structure. Values from VASP.

* energy relative to the lowest polymorph listed for this composition: 0.0000 eV/atom
* calculated volume: 71 Å³/f.u.
* uncorrected energy: -16.5 eV/cell

```
&SYSTEM
  ibrav = 0, nat = 6, ntyp = 2
/
ATOMIC_SPECIES
Li 6.94 Li.upf
Nd 144.24 Nd.upf
ATOMIC_POSITIONS angstrom
Li 1.601 -5.133 -4.127
Li 1.799 -8.000 -3.590
Li -0.232 -6.396 -2.231
Li 2.590 -6.071 -1.541
Nd 0.720 -3.200 -1.436
Nd 0.000 0.000 0.000
CELL_PARAMETERS angstrom
4.063 -3.208 -2.718
0.397 -5.734 1.073
-1.581 -3.858 -4.100
```


4.
Density functional theory data (GGA-PBE) for a geometry-optimized LiNd2 structure. Values from VASP.

* energy relative to the lowest polymorph listed for this composition: 0.0000 eV/atom
* calculated volume: 105 Å³/f.u.
* uncorrected energy: -20.2 eV/cell

```
&SYSTEM
  ibrav = 0, nat = 6, ntyp = 2
/
ATOMIC_SPECIES
Li 6.94 Li.upf
Nd 144.24 Nd.upf
ATOMIC_POSITIONS angstrom
Li 0.000 0.000 0.000
Li 2.358 2.358 2.358
Nd 3.537 5.895 3.537
Nd 5.895 3.537 3.537
Nd 5.895 5.895 5.895
Nd 3.537 3.537 5.895
CELL_PARAMETERS angstrom
0.000 4.716 4.716
4.716 0.000 4.716
4.716 4.716 0.000
```


5.
Density functional theory data (GGA-PBE) for a geometry-optimized LiNd2 structure. Values from VASP.

* energy relative to the lowest polymorph listed for this composition: 1.3639 eV/atom
* calculated volume: 217 Å³/f.u.
* uncorrected energy: -12.0 eV/cell

```
&SYSTEM
  ibrav = 0, nat = 6, ntyp = 2
/
ATOMIC_SPECIES
Li 6.94 Li.upf
Nd 144.24 Nd.upf
ATOMIC_POSITIONS angstrom
Li 6.013 6.013 6.013
Li 3.006 3.006 3.006
Nd 7.516 7.516 4.509
Nd 7.516 4.509 7.516
Nd 4.509 4.509 4.509
Nd 4.509 7.516 7.516
CELL_PARAMETERS angstrom
0.000 6.013 6.013
6.013 0.000 6.013
6.013 6.013 0.000
```


6.
Density functional theory data (GGA-PBE) for a geometry-optimized LiNd2 structure. Values from VASP.

* energy relative to the lowest polymorph listed for this composition: 0.0177 eV/atom
* calculated volume: 96 Å³/f.u.
* uncorrected energy: -10.0 eV/cell

```
&SYSTEM
  ibrav = 0, nat = 3, ntyp = 2
/
ATOMIC_SPECIES
Li 6.94 Li.upf
Nd 144.24 Nd.upf
ATOMIC_POSITIONS angstrom
Li 0.000 0.000 0.000
Nd 1.817 1.817 1.817
Nd 5.451 5.451 5.451
CELL_PARAMETERS angstrom
0.000 3.634 3.634
3.634 0.000 3.634
3.634 3.634 0.000
```


- Look up the uncorrected energy of the sixth one.
  -10.0 eV/cell


- Look up the calculated volume of the first one.
  75 Å³/f.u.